PBE with a Hubbard U MgV2O4, optimized geometry; total magnetic moment = 0.57 μB per atom; energy = -7.3935 eV per atom; symmetry = Fd-3m (227)
1.0
-5.4380 -2.1934 -1.4306
-3.8860 -1.5152 4.3626
-4.9413 3.3380 0.9330
Mg V O
2 4 8
Direct
0.7500 0.7500 0.7500
0.5000 0.5000 0.5000
0.6250 0.1250 0.1250
0.1250 0.1250 0.1250
0.1250 0.6250 0.1250
0.1250 0.1250 0.6250
0.3656 0.3656 0.3656
0.3467 0.8844 0.8844
0.8844 0.8844 0.3467
0.8844 0.3467 0.8844
0.3656 0.3656 0.9033
0.3656 0.9033 0.3656
0.8844 0.8844 0.8844
0.9033 0.3656 0.3656